An optimized crystal structure of Ba3Mn2MoO9, computed with GGA+U.

```
data_Ba3Mn2MoO9
_symmetry_space_group_name_H-M 'P 1'
_symmetry_Int_Tables_number 1
_symmetry_space_group_name_Hall 'P 1'
_cell_length_a 5.781
_cell_length_b 5.781
_cell_length_c 7.114
_cell_angle_alpha 90.00
_cell_angle_beta 90.00
_cell_angle_gamma 120.00
loop_
_atom_site_label
_atom_site_type_symbol
_atom_site_fract_x
_atom_site_fract_y
_atom_site_fract_z
Ba1 Ba 0.000 0.000 0.000
Ba2 Ba 0.333 0.667 0.675
Ba3 Ba 0.667 0.333 0.325
Mn1 Mn 0.333 0.667 0.155
Mn2 Mn 0.667 0.333 0.845
Mo1 Mo 0.000 0.000 0.500
O1 O 0.000 0.500 0.000
O2 O 0.160 0.320 0.342
O3 O 0.160 0.840 0.342
O4 O 0.320 0.160 0.658
O5 O 0.500 0.000 0.000
O6 O 0.500 0.500 0.000
O7 O 0.680 0.840 0.342
O8 O 0.840 0.160 0.658
O9 O 0.840 0.680 0.658
```

## Properties
- calculated total energy (eV per cell) = -105.2